(1)
First-principles (GGA-PBE) data for an optimized crystal structure of LiCeO2, as listed in Alexandria via LeMat-Bulk.

Output
- Fermi-level density of states: 17.2 states/eV per cell
- Formation energy from raw total energies: -2730 meV/atom
- Space group: P2_1/c, No. 14

abc: 5.8852 6.0719 5.8162
angles: 90.00 103.99 90.00
With the nearest neighbours (Å) after each atom.
Atoms (fractional coordinates):
Li (0.1655, 0.1326, 0.1820)  4 O 1.93-2.16
Li (0.1655, 0.3674, 0.6820)  4 O 1.93-2.16
Li (0.8345, 0.6326, 0.3180)  4 O 1.93-2.16
Li (0.8345, 0.8674, 0.8180)  4 O 1.93-2.16
Ce (0.2986, 0.5725, 0.1956)  7 O 2.38-2.55
Ce (0.2986, 0.9275, 0.6956)  7 O 2.38-2.55
Ce (0.7014, 0.0725, 0.3044)  7 O 2.38-2.55
Ce (0.7014, 0.4275, 0.8044)  7 O 2.38-2.55
O (0.0665, 0.6373, 0.8055)  2 Li 1.93-1.97
O (0.0665, 0.8627, 0.3055)  2 Li 1.93-1.97
O (0.4108, 0.2459, 0.9865)  2 Li 2.13-2.16
O (0.4108, 0.2541, 0.4865)  2 Li 2.13-2.16
O (0.5892, 0.7459, 0.5135)  2 Li 2.13-2.16
O (0.5892, 0.7541, 0.0135)  2 Li 2.13-2.16
O (0.9335, 0.1373, 0.6945)  2 Li 1.93-1.97
O (0.9335, 0.3627, 0.1945)  2 Li 1.93-1.97



(2)
First-principles (GGA-PBE) data for an optimized crystal structure of Li3CeO4, as listed in Alexandria via LeMat-Bulk.

Output
- Fermi-level density of states: 5.2 states/eV per cell
- Formation energy from raw total energies: -2202 meV/atom
- Space group: R-3m, No. 166

abc: 4.4677 4.4677 4.4677
angles: 90.27 90.27 90.27
With the nearest neighbours (Å) after each atom.
Atoms (fractional coordinates):
Li (0.0000, 0.5000, 0.5000)  6 O 2.23
Li (0.5000, 0.0000, 0.5000)  6 O 2.23
Li (0.5000, 0.5000, 0.0000)  6 O 2.23
Ce (0.0000, 0.0000, 0.0000)  6 O 2.23
O (0.0000, 0.0000, 0.5000)  4 Li 2.23, 2 Ce 2.23
O (0.0000, 0.5000, 0.0000)  2 Ce 2.23, 4 Li 2.23
O (0.5000, 0.0000, 0.0000)  4 Li 2.23, 2 Ce 2.23
O (0.5000, 0.5000, 0.5000)  6 Li 2.23



(3)
First-principles (GGA-PBE) data for an optimized crystal structure of Li4CeO4, as listed in Alexandria via LeMat-Bulk.

Output
- Fermi-level density of states: 0.0 states/eV per cell
- Formation energy from raw total energies: -2339 meV/atom
- Space group: Cmcm, No. 63

abc: 5.4895 5.4895 6.9164
angles: 90.00 90.00 77.54
With the nearest neighbours (Å) after each atom.
Atoms (fractional coordinates):
Li (0.1011, 0.6108, 0.7500)  4 O 1.95-1.98
Li (0.1538, 0.1538, 0.0000)  4 O 1.98-2.05
Li (0.1538, 0.1538, 0.5000)  4 O 1.98-2.05
Li (0.3892, 0.8989, 0.7500)  4 O 1.95-1.98
Li (0.6108, 0.1011, 0.2500)  4 O 1.95-1.98
Li (0.8462, 0.8462, 0.0000)  4 O 1.98-2.05
Li (0.8462, 0.8462, 0.5000)  4 O 1.98-2.05
Li (0.8989, 0.3892, 0.2500)  4 O 1.95-1.98
Ce (0.3646, 0.6354, 0.2500)  4 O 2.14-2.18
Ce (0.6354, 0.3646, 0.7500)  4 O 2.14-2.18
O (0.2273, 0.7727, 0.5271)  4 Li 1.98-2.05, 1 Ce 2.14
O (0.2273, 0.7727, 0.9729)  4 Li 1.98-2.05, 1 Ce 2.14
O (0.2597, 0.2741, 0.2500)  4 Li 1.95-1.98
O (0.2741, 0.2597, 0.7500)  4 Li 1.95-1.98
O (0.7259, 0.7403, 0.2500)  4 Li 1.95-1.98
O (0.7403, 0.7259, 0.7500)  4 Li 1.95-1.98
O (0.7727, 0.2273, 0.0271)  4 Li 1.98-2.05, 1 Ce 2.14
O (0.7727, 0.2273, 0.4729)  4 Li 1.98-2.05, 1 Ce 2.14



(4)
First-principles (GGA-PBE) data for an optimized crystal structure of LiCeO3, as listed in Alexandria via LeMat-Bulk.

Output
- Fermi-level density of states: 1.8 states/eV per cell
- Formation energy from raw total energies: -2124 meV/atom
- Space group: Pm-3m, No. 221

abc: 3.6834 3.6834 3.6834
angles: 90.00 90.00 90.00
With the nearest neighbours (Å) after each atom.
Atoms (fractional coordinates):
Li (0.0000, 0.0000, 0.0000)  6 O 1.84
Ce (0.5000, 0.5000, 0.5000)  12 O 2.60
O (0.0000, 0.0000, 0.5000)  2 Li 1.84
O (0.0000, 0.5000, 0.0000)  2 Li 1.84
O (0.5000, 0.0000, 0.0000)  2 Li 1.84



(5)
First-principles (GGA-PBE) data for an optimized crystal structure of Li7CeO6, as listed in Alexandria via LeMat-Bulk.

Output
- Fermi-level density of states: 9.0 states/eV per cell
- Formation energy from raw total energies: -2038 meV/atom
- Space group: R3, No. 146

abc: 6.2887 6.2887 6.2887
angles: 53.99 53.99 53.99
With the nearest neighbours (Å) after each atom.
Atoms (fractional coordinates):
Li (0.0000, 0.0000, 0.0000)  3 O 2.08
Li (0.0927, 0.4817, 0.8539)  4 O 1.90-2.07
Li (0.2834, 0.8501, 0.5762)  4 O 1.99-2.03
Li (0.4817, 0.8539, 0.0927)  4 O 1.90-2.07
Li (0.5762, 0.2834, 0.8501)  4 O 1.99-2.03
Li (0.8501, 0.5762, 0.2834)  4 O 1.99-2.03
Li (0.8539, 0.0927, 0.4817)  4 O 1.90-2.07
Ce (0.3588, 0.3588, 0.3588)  6 O 2.20-2.29
O (0.1547, 0.7497, 0.4336)  4 Li 1.90-2.07
O (0.2291, 0.6005, 0.9797)  5 Li 1.99-2.08
O (0.4336, 0.1547, 0.7497)  4 Li 1.90-2.07
O (0.6005, 0.9797, 0.2291)  5 Li 1.99-2.08
O (0.7497, 0.4336, 0.1547)  4 Li 1.90-2.07
O (0.9797, 0.2291, 0.6005)  5 Li 1.99-2.08



(6)
First-principles (GGA-PBE) data for an optimized crystal structure of LiCeO2, as listed in Alexandria via LeMat-Bulk.

Output
- Fermi-level density of states: 9.4 states/eV per cell
- Formation energy from raw total energies: -2507 meV/atom
- Space group: R3m, No. 160

abc: 3.5009 3.5009 17.4244
angles: 90.00 90.00 120.00
With the nearest neighbours (Å) after each atom.
Atoms (fractional coordinates):
Li (0.0000, 0.0000, 0.0000)  3 O 2.27
Li (0.3333, 0.6667, 0.6667)  3 O 2.27
Li (0.6667, 0.3333, 0.3333)  3 O 2.27
Ce (0.0000, 0.0000, 0.1929)  6 O 2.31-2.47
Ce (0.3333, 0.6667, 0.8596)  6 O 2.31-2.47
Ce (0.6667, 0.3333, 0.5263)  6 O 2.31-2.47
O (0.0000, 0.0000, 0.6079)  3 Li 2.27, 3 Ce 2.47
O (0.0000, 0.0000, 0.7955)  3 Ce 2.31
O (0.3333, 0.6667, 0.2745)  3 Li 2.27, 3 Ce 2.47
O (0.3333, 0.6667, 0.4622)  3 Ce 2.31
O (0.6667, 0.3333, 0.1288)  3 Ce 2.31
O (0.6667, 0.3333, 0.9412)  3 Li 2.27, 3 Ce 2.47



Number 1: DFT total energy -7.17 eV per atom. Number 2: DFT total energy -6.14 eV per atom. Number 3: DFT total energy -6.05 eV per atom. Number 4: DFT total energy -6.67 eV per atom. Number 5: DFT total energy -5.54 eV per atom. Number 6: DFT total energy -6.95 eV per atom.